Entry 1:
# VIBr2 PBE optimized geometry
data_VIBr2
_chemical_formula_sum 'V4 I4 Br8'
_cell_length_a 7.482
_cell_length_b 7.482
_cell_length_c 7.482
_cell_angle_alpha 90.00
_cell_angle_beta 90.00
_cell_angle_gamma 90.00
_space_group_name_H-M_alt 'F m -3 m'
_space_group_IT_number 225
_space_group_name_Hall '-F 4 2 3'
loop_
_atom_site_label
_atom_site_fract_x
_atom_site_fract_y
_atom_site_fract_z
_atom_site_occupancy
V1 0.000 0.000 0.000 1
I1 0.000 0.000 0.500 1
Br1 0.250 0.250 0.250 1
# Crystal system = cubic
# Calculated volume = 26.2 A^3/atom
# ΔE_f (raw) = 0.425 eV/atom
# Excess energy over the best structure of this formula in the dataset = 1046 meV per atom

Entry 2:
# Pu3In2Hg3 PBE optimized geometry
data_Pu3In2Hg3
_chemical_formula_sum 'Pu6 In4 Hg6'
_cell_length_a 4.657
_cell_length_b 4.768
_cell_length_c 18.150
_cell_angle_alpha 90.00
_cell_angle_beta 90.00
_cell_angle_gamma 90.00
_space_group_name_H-M_alt 'I m m m'
_space_group_IT_number 71
_space_group_name_Hall '-I 2 2'
loop_
_atom_site_label
_atom_site_fract_x
_atom_site_fract_y
_atom_site_fract_z
_atom_site_occupancy
Pu1 0.000 0.000 0.000 1
Pu2 0.000 0.500 0.120 1
In1 0.000 0.000 0.248 1
Hg1 0.000 0.000 0.500 1
Hg2 0.000 0.500 0.370 1
# Crystal system = orthorhombic
# Calculated volume = 25.2 A^3/atom
# DFT formation energy = -0.04 eV/atom

Entry 3:
# RbSr2SnAs PBE optimized geometry
data_RbSr2SnAs
_chemical_formula_sum 'Rb1 Sr2 Sn1 As1'
_cell_length_a 6.310
_cell_length_b 6.310
_cell_length_c 6.374
_cell_angle_alpha 90.00
_cell_angle_beta 90.00
_cell_angle_gamma 90.00
_space_group_name_H-M_alt 'P 4/m m m'
_space_group_IT_number 123
_space_group_name_Hall '-P 4 2'
loop_
_atom_site_label
_atom_site_fract_x
_atom_site_fract_y
_atom_site_fract_z
_atom_site_occupancy
Rb1 0.000 0.000 0.000 1
Sr1 0.000 0.500 0.500 1
Sn1 0.000 0.000 0.500 1
As1 0.500 0.500 0.000 1
# Crystal system = tetragonal
# Calculated volume = 50.8 A^3/atom
# DFT formation energy = 0.13 eV/atom
# Excess energy over the best structure of this formula in the dataset = 0 meV per atom

Entry 4:
# Re2SnOs2 PBE optimized geometry
data_Re2SnOs2
_chemical_formula_sum 'Re4 Sn2 Os4'
_cell_length_a 7.743
_cell_length_b 7.743
_cell_length_c 2.800
_cell_angle_alpha 90.00
_cell_angle_beta 90.00
_cell_angle_gamma 90.00
_space_group_name_H-M_alt 'P 4/m b m'
_space_group_IT_number 127
_space_group_name_Hall '-P 4 2ab'
loop_
_atom_site_label
_atom_site_fract_x
_atom_site_fract_y
_atom_site_fract_z
_atom_site_occupancy
Re1 0.125 0.375 0.000 1
Sn1 0.000 0.000 0.000 1
Os1 0.161 0.661 0.500 1
# Crystal system = tetragonal
# Calculated volume = 16.8 A^3/atom
# DFT formation energy = 0.40 eV/atom
# Excess energy over the best structure of this formula in the dataset = 0 meV per atom

Entry 5:
# K2BeSbTe PBE optimized geometry
data_K2BeSbTe
_chemical_formula_sum 'K2 Be1 Sb1 Te1'
_cell_length_a 6.601
_cell_length_b 6.601
_cell_length_c 4.280
_cell_angle_alpha 90.00
_cell_angle_beta 90.00
_cell_angle_gamma 90.00
_space_group_name_H-M_alt 'P 4/m m m'
_space_group_IT_number 123
_space_group_name_Hall '-P 4 2'
loop_
_atom_site_label
_atom_site_fract_x
_atom_site_fract_y
_atom_site_fract_z
_atom_site_occupancy
K1 0.000 0.500 0.000 1
Be1 0.000 0.000 0.000 1
Sb1 0.000 0.000 0.500 1
Te1 0.500 0.500 0.500 1
# Crystal system = tetragonal
# Calculated volume = 37.3 A^3/atom
# ΔE_f (raw) = -0.113 eV/atom

Entry 6:
# Ba2AlGa4Ag3 PBE optimized geometry
data_Ba2AlGa4Ag3
_chemical_formula_sum 'Ba2 Al1 Ga4 Ag3'
_cell_length_a 4.601
_cell_length_b 4.601
_cell_length_c 11.271
_cell_angle_alpha 90.00
_cell_angle_beta 90.00
_cell_angle_gamma 90.00
_space_group_name_H-M_alt 'P -4 m 2'
_space_group_IT_number 115
loop_
_space_group_symop_operation_xyz
'x,y,z'
'y,-x,-z'
'-x,-y,z'
'-y,x,-z'
'-x,y,z'
'-y,-x,-z'
'x,-y,z'
'y,x,-z'
loop_
_atom_site_label
_atom_site_fract_x
_atom_site_fract_y
_atom_site_fract_z
_atom_site_occupancy
Ba1 0.000 0.500 0.249 1
Al1 0.000 0.000 0.500 1
Ga1 0.000 0.000 0.000 1
Ga2 0.000 0.500 0.629 1
Ga3 0.500 0.500 0.000 1
Ag1 0.000 0.500 0.871 1
Ag2 0.500 0.500 0.500 1
# Crystal system = tetragonal
# Calculated volume = 23.9 A^3/atom
# DFT formation energy = -0.30 eV/atom

Entry 7:
# Y2ScW PBE optimized geometry
data_Y2ScW
_chemical_formula_sum 'Y2 Sc1 W1'
_cell_length_a 3.170
_cell_length_b 3.170
_cell_length_c 9.983
_cell_angle_alpha 90.00
_cell_angle_beta 90.00
_cell_angle_gamma 90.00
_space_group_name_H-M_alt 'P 4/m m m'
_space_group_IT_number 123
_space_group_name_Hall '-P 4 2'
loop_
_atom_site_label
_atom_site_fract_x
_atom_site_fract_y
_atom_site_fract_z
_atom_site_occupancy
Y1 0.000 0.000 0.216 1
Sc1 0.500 0.500 0.500 1
W1 0.500 0.500 0.000 1
# Crystal system = tetragonal
# Calculated volume = 25.1 A^3/atom
# DFT formation energy = 0.45 eV/atom
# Excess energy over the best structure of this formula in the dataset = 148 meV per atom

Entry 8:
# Ac3La8Pm2 PBE optimized geometry
data_Ac3La8Pm2
_chemical_formula_sum 'Ac6 La16 Pm4'
_cell_length_a 21.405
_cell_length_b 8.065
_cell_length_c 5.977
_cell_angle_alpha 90.00
_cell_angle_beta 90.11
_cell_angle_gamma 90.00
_space_group_name_H-M_alt 'C 1 2/m 1'
_space_group_IT_number 12
loop_
_space_group_symop_operation_xyz
'x,y,z'
'-x,-y,-z'
'-x,y,-z'
'x,-y,z'
'x+1/2,y+1/2,z'
'-x+1/2,-y+1/2,-z'
'-x+1/2,y+1/2,-z'
'x+1/2,-y+1/2,z'
loop_
_atom_site_label
_atom_site_fract_x
_atom_site_fract_y
_atom_site_fract_z
_atom_site_occupancy
Ac1 0.000 0.000 0.000 1
Ac2 0.000 0.282 0.500 1
La1 0.112 0.304 0.001 1
La2 0.136 0.000 0.499 1
La3 0.179 0.500 0.502 1
Pm1 0.240 0.000 0.997 1
# Crystal system = monoclinic
# Calculated volume = 39.7 A^3/atom
# DFT formation energy = 0.21 eV/atom
# Excess energy over the best structure of this formula in the dataset = 90 meV per atom

Entry 9:
# Ce3Te2O2 PBE optimized geometry
data_Ce3Te2O2
_chemical_formula_sum 'Ce6 Te4 O4'
_cell_length_a 6.637
_cell_length_b 7.545
_cell_length_c 7.673
_cell_angle_alpha 90.00
_cell_angle_beta 113.60
_cell_angle_gamma 90.00
_space_group_name_H-M_alt 'P 1 21/c 1'
_space_group_IT_number 14
loop_
_space_group_symop_operation_xyz
'x,y,z'
'-x,-y,-z'
'-x,y+1/2,-z+1/2'
'x,-y+1/2,z+1/2'
loop_
_atom_site_label
_atom_site_fract_x
_atom_site_fract_y
_atom_site_fract_z
_atom_site_occupancy
Ce1 0.000 0.000 0.000 1
Ce2 0.406 0.134 0.779 1
Te1 0.192 0.636 0.916 1
O1 0.354 0.110 0.069 1
# Crystal system = monoclinic
# Calculated volume = 25.1 A^3/atom
# ΔE_f (raw) = -2.256 eV/atom

Entry 10:
# K2ErPd3F12 PBE optimized geometry
data_K2ErPd3F12
_chemical_formula_sum 'K6 Er3 Pd9 F36'
_cell_length_a 7.7856
_cell_length_b 7.7856
_cell_length_c 20.1248
_cell_angle_alpha 90.00
_cell_angle_beta 90.00
_cell_angle_gamma 120.00
_space_group_name_H-M_alt 'R -3 m'
_space_group_IT_number 166
_space_group_name_Hall '-R 3 2"'
loop_
_atom_site_label
_atom_site_fract_x
_atom_site_fract_y
_atom_site_fract_z
_atom_site_occupancy
K1 0.0000 0.0000 0.1932 1
Er1 0.0000 0.0000 0.5000 1
Pd1 0.0000 0.5000 0.0000 1
F1 0.0641 0.5321 0.1083 1
F2 0.0819 0.5410 0.3619 1
# Crystal system = trigonal
# Calculated volume = 19.6 A^3/atom
# ΔE_f (raw) = -2.196 eV/atom

Entry 11:
# YMg3Te PBE optimized geometry
data_YMg3Te
_chemical_formula_sum 'Y1 Mg3 Te1'
_cell_length_a 5.442
_cell_length_b 5.442
_cell_length_c 5.442
_cell_angle_alpha 90.00
_cell_angle_beta 90.00
_cell_angle_gamma 90.00
_space_group_name_H-M_alt 'P m -3 m'
_space_group_IT_number 221
_space_group_name_Hall '-P 4 2 3'
loop_
_atom_site_label
_atom_site_fract_x
_atom_site_fract_y
_atom_site_fract_z
_atom_site_occupancy
Y1 0.000 0.000 0.000 1
Mg1 0.000 0.500 0.500 1
Te1 0.500 0.500 0.500 1
# Crystal system = cubic
# Calculated volume = 32.2 A^3/atom
# ΔE_f (raw) = 0.328 eV/atom
# Excess energy over the best structure of this formula in the dataset = 0 meV per atom

Entry 12:
# MnPIr2 PBE optimized geometry
data_MnPIr2
_chemical_formula_sum 'Mn1 P1 Ir2'
_cell_length_a 2.792
_cell_length_b 2.792
_cell_length_c 6.554
_cell_angle_alpha 90.00
_cell_angle_beta 90.00
_cell_angle_gamma 90.00
_space_group_name_H-M_alt 'P 4 m m'
_space_group_IT_number 99
loop_
_space_group_symop_operation_xyz
'x,y,z'
'-y,x,z'
'-x,-y,z'
'y,-x,z'
'-x,y,z'
'y,x,z'
'x,-y,z'
'-y,-x,z'
loop_
_atom_site_label
_atom_site_fract_x
_atom_site_fract_y
_atom_site_fract_z
_atom_site_occupancy
Mn1 0.000 0.000 0.000 1
P1 0.500 0.500 0.189 1
Ir1 0.000 0.000 0.419 1
Ir2 0.500 0.500 0.732 1
# Crystal system = tetragonal
# Calculated volume = 12.8 A^3/atom
# DFT formation energy = -0.11 eV/atom

Total magnetic moment? In order: 8.0; 12.3; 1.1; 0.0; 0.0; 0.0; 0.0; 0.0; 8.1; 15.1; 0.0; 0.0 μB/cell.